Material: LiCa2Mg
Method: DFT, meta-GGA SCAN
State: single point on PBEsol structure

It has space group P4mm (No. 99), with a = 3.796 Å, b = 3.796 Å, c = 8.343 Å, α = 90.00°, β = 90.00° and γ = 90.00°. The asymmetric unit holds Li at (0.000, 0.000, 0.000), Ca at (0.000, 0.000, 0.418), Ca at (0.500, 0.500, 0.749) and Mg at (0.500, 0.500, 0.165).

The formation energy comes out at -0.02 eV/atom. The calculation puts the density of states at the Fermi level at 0.7835 states/eV per atom.